! Tb4Te3N2, relaxed, DFT GGA-PBEsol; values from VASP
&SYSTEM
  ibrav = 0, nat = 36, ntyp = 3
/
ATOMIC_SPECIES
Te 127.60 Te.upf
Tb 158.93 Tb.upf
N 14.01 N.upf
ATOMIC_POSITIONS angstrom
Te 5.4407 1.2132 0.0000
Te 5.4407 4.2219 5.7744
Te 2.6646 6.3393 1.8744
Te 6.2918 0.9042 3.9000
Tb 1.1854 1.2536 1.7758
Te 6.2918 4.5309 1.8744
Tb 1.1854 4.1815 3.9986
Tb 2.4417 1.2536 9.7730
Tb 3.4439 1.9201 4.7250
Tb 7.0710 8.9501 4.7250
N 2.4794 2.7175 2.8872
Te 2.6646 9.9660 3.9000
Te 4.5896 4.5309 9.6744
Tb 0.1833 1.9201 6.8238
Tb 2.4417 4.1815 7.5502
N 5.4407 8.4329 0.0000
Te 0.9625 6.3393 9.6744
Te 1.8136 6.6483 5.7744
Tb 4.8126 6.6887 3.9986
Tb 7.0710 7.3552 1.0494
Te 1.8136 9.6570 0.0000
N 6.1065 8.1526 2.8872
N 4.7749 8.1526 8.6616
Tb 4.8126 9.6166 1.7758
Tb 3.8104 7.3552 10.4994
Tb 3.4439 3.5150 1.0494
Te 0.9625 9.9660 7.6488
Tb 6.0688 6.6887 7.5502
N 1.1477 2.7175 8.6616
Tb 3.8104 8.9501 6.8238
N 1.8136 2.4373 0.0000
Te 4.5896 0.9042 7.6488
N 1.8136 2.9978 5.7744
Tb 6.0688 9.6166 9.7730
Tb 0.1833 3.5150 10.4994
N 5.4407 7.8724 5.7744
CELL_PARAMETERS angstrom
7.2543 0.0000 0.0000
0.0000 10.8702 0.0000
0.0000 0.0000 11.5488
! Uncorrected formation energy: -1.61 eV/atom